Entry 1:
{
  "formula": "LaDy4Er",
  "functional": "PBE",
  "state": "relaxed",
  "lattice": [[0.000, 4.673, 4.673], [4.673, 0.000, 4.673], [4.673, 4.673, 0.000]],
  "species": ["La", "Dy", "Dy", "Dy", "Dy", "Er"],
  "fractional_positions": [[0.000, 0.000, 0.000], [0.376, 0.376, 0.376], [0.376, 0.376, 0.873], [0.376, 0.873, 0.376], [0.873, 0.376, 0.376], [0.750, 0.750, 0.750]],
  "formation_enthalpy_0k_kcal_per_mol_atoms": 6.20
}


Entry 2:
{
  "formula": "La5Dy2Er3",
  "functional": "PBE",
  "state": "relaxed",
  "lattice": [[5.433, -7.434, 0.000], [5.433, 7.434, 0.000], [-5.423, 0.000, 8.600]],
  "species": ["La", "La", "La", "La", "La", "La", "La", "La", "La", "La", "Dy", "Dy", "Dy", "Dy", "Er", "Er", "Er", "Er", "Er", "Er"],
  "fractional_positions": [[0.018, 0.982, 0.750], [0.121, 0.383, 0.755], [0.227, 0.773, 0.750], [0.383, 0.121, 0.255], [0.476, 0.524, 0.250], [0.524, 0.476, 0.750], [0.617, 0.879, 0.745], [0.773, 0.227, 0.250], [0.879, 0.617, 0.245], [0.982, 0.018, 0.250], [0.026, 0.286, 0.062], [0.286, 0.026, 0.562], [0.714, 0.974, 0.438], [0.974, 0.714, 0.938], [0.221, 0.473, 0.441], [0.270, 0.730, 0.250], [0.473, 0.221, 0.941], [0.527, 0.779, 0.059], [0.730, 0.270, 0.750], [0.779, 0.527, 0.559]],
  "formation_enthalpy_0k_kcal_per_mol_atoms": 3.74
}


Entry 3:
{
  "formula": "La4Dy10Er",
  "functional": "PBE",
  "state": "relaxed",
  "lattice": [[-4.910, 4.910, 5.332], [4.910, -4.910, 5.332], [4.910, 4.910, -5.332]],
  "species": ["La", "La", "La", "La", "Dy", "Dy", "Dy", "Dy", "Dy", "Dy", "Dy", "Dy", "Dy", "Dy", "Er"],
  "fractional_positions": [[0.065, 0.666, 0.731], [0.334, 0.065, 0.400], [0.666, 0.935, 0.600], [0.935, 0.334, 0.269], [0.130, 0.225, 0.678], [0.225, 0.548, 0.095], [0.250, 0.750, 0.500], [0.452, 0.130, 0.905], [0.452, 0.548, 0.678], [0.548, 0.452, 0.322], [0.548, 0.870, 0.095], [0.750, 0.250, 0.500], [0.775, 0.452, 0.905], [0.870, 0.775, 0.322], [0.000, 0.000, 0.000]],
  "formation_enthalpy_0k_kcal_per_mol_atoms": 8.33
}


Entry 4:
{
  "formula": "La12Dy7Er",
  "functional": "PBE",
  "state": "relaxed",
  "lattice": [[9.803, 5.660, 2.126], [-9.803, 5.660, 2.126], [0.000, -11.320, 2.126]],
  "species": ["La", "La", "La", "La", "La", "La", "La", "La", "La", "La", "La", "La", "Dy", "Dy", "Dy", "Dy", "Dy", "Dy", "Dy", "Er"],
  "fractional_positions": [[0.000, 0.408, 0.592], [0.000, 0.592, 0.408], [0.071, 0.071, 0.425], [0.071, 0.425, 0.071], [0.408, 0.000, 0.592], [0.408, 0.592, 0.000], [0.425, 0.071, 0.071], [0.575, 0.929, 0.929], [0.592, 0.000, 0.408], [0.592, 0.408, 0.000], [0.929, 0.575, 0.929], [0.929, 0.929, 0.575], [0.000, 0.000, 0.000], [0.139, 0.386, 0.386], [0.386, 0.139, 0.386], [0.386, 0.386, 0.139], [0.614, 0.614, 0.861], [0.614, 0.861, 0.614], [0.861, 0.614, 0.614], [0.500, 0.500, 0.500]],
  "formation_enthalpy_0k_kcal_per_mol_atoms": 4.26
}


Entry 5:
{
  "formula": "La7DyEr3",
  "functional": "PBE",
  "state": "relaxed",
  "lattice": [[7.092, 0.000, 0.000], [-3.332, 9.645, 0.000], [-1.808, -3.779, 11.314]],
  "species": ["La", "La", "La", "La", "La", "La", "La", "La", "La", "La", "La", "La", "La", "La", "Dy", "Dy", "Er", "Er", "Er", "Er", "Er", "Er"],
  "fractional_positions": [[0.000, 0.000, 0.000], [0.021, 0.851, 0.239], [0.056, 0.575, 0.005], [0.142, 0.300, 0.799], [0.221, 0.974, 0.761], [0.318, 0.470, 0.212], [0.380, 0.432, 0.516], [0.479, 0.903, 0.041], [0.564, 0.891, 0.345], [0.606, 0.307, 0.748], [0.688, 0.981, 0.728], [0.785, 0.728, 0.507], [0.839, 0.506, 0.266], [0.871, 0.368, 0.533], [0.306, 0.648, 0.766], [0.933, 0.181, 0.270], [0.175, 0.072, 0.510], [0.251, 0.725, 0.503], [0.437, 0.179, 0.272], [0.593, 0.589, 0.005], [0.643, 0.238, 0.009], [0.814, 0.665, 0.771]],
  "formation_enthalpy_0k_kcal_per_mol_atoms": 2.58
}


Entry 6:
{
  "formula": "LaDy4Er2",
  "functional": "PBE",
  "state": "relaxed",
  "lattice": [[7.068, 0.000, 0.000], [-1.754, 8.420, 0.000], [-1.747, -4.118, 7.606]],
  "species": ["La", "La", "Dy", "Dy", "Dy", "Dy", "Dy", "Dy", "Dy", "Dy", "Er", "Er", "Er", "Er"],
  "fractional_positions": [[0.000, 0.000, 0.000], [0.301, 0.668, 0.546], [0.025, 0.827, 0.279], [0.107, 0.555, 0.874], [0.388, 0.403, 0.137], [0.413, 0.229, 0.415], [0.501, 0.002, 0.002], [0.608, 0.555, 0.872], [0.705, 0.117, 0.703], [0.908, 0.232, 0.416], [0.208, 0.124, 0.706], [0.525, 0.824, 0.273], [0.800, 0.667, 0.536], [0.881, 0.404, 0.135]],
  "formation_enthalpy_0k_kcal_per_mol_atoms": 0.97
}


Entry 7:
{
  "formula": "LaDy5Er3",
  "functional": "PBE",
  "state": "relaxed",
  "lattice": [[9.571, -3.021, 0.000], [9.571, 3.021, 0.000], [-4.240, 0.000, 10.274]],
  "species": ["La", "La", "Dy", "Dy", "Dy", "Dy", "Dy", "Dy", "Dy", "Dy", "Dy", "Dy", "Er", "Er", "Er", "Er", "Er", "Er"],
  "fractional_positions": [[0.151, 0.849, 0.750], [0.849, 0.151, 0.250], [0.091, 0.578, 0.303], [0.099, 0.564, 0.971], [0.369, 0.631, 0.250], [0.422, 0.909, 0.197], [0.436, 0.901, 0.529], [0.564, 0.099, 0.471], [0.578, 0.091, 0.803], [0.631, 0.369, 0.750], [0.901, 0.436, 0.029], [0.909, 0.422, 0.697], [0.000, 0.000, 0.000], [0.000, 0.000, 0.500], [0.048, 0.599, 0.635], [0.401, 0.952, 0.865], [0.599, 0.048, 0.135], [0.952, 0.401, 0.365]],
  "formation_enthalpy_0k_kcal_per_mol_atoms": 7.69
}


Entry 8:
{
  "formula": "LaDyEr4",
  "functional": "PBE",
  "state": "relaxed",
  "lattice": [[3.479, 0.000, 0.000], [0.000, 5.630, 0.000], [0.000, 0.000, 9.730]],
  "species": ["La", "Dy", "Er", "Er", "Er", "Er"],
  "fractional_positions": [[0.000, 0.000, 0.000], [0.000, 0.500, 0.500], [0.500, 0.000, 0.336], [0.500, 0.000, 0.664], [0.500, 0.500, 0.171], [0.500, 0.500, 0.829]],
  "formation_enthalpy_0k_kcal_per_mol_atoms": 1.76
}


Entry 9:
{
  "formula": "La2Dy2Er3",
  "functional": "PBE",
  "state": "relaxed",
  "lattice": [[6.434, 0.000, 0.000], [0.000, 11.578, 0.000], [-0.757, 0.000, 6.307]],
  "species": ["La", "La", "La", "La", "Dy", "Dy", "Dy", "Dy", "Er", "Er", "Er", "Er", "Er", "Er"],
  "fractional_positions": [[0.019, 0.147, 0.468], [0.019, 0.353, 0.968], [0.981, 0.647, 0.032], [0.981, 0.853, 0.532], [0.408, 0.724, 0.708], [0.408, 0.776, 0.208], [0.592, 0.224, 0.792], [0.592, 0.276, 0.292], [0.246, 0.040, 0.969], [0.246, 0.460, 0.469], [0.500, 0.000, 0.500], [0.500, 0.500, 0.000], [0.754, 0.540, 0.531], [0.754, 0.960, 0.031]],
  "formation_enthalpy_0k_kcal_per_mol_atoms": 4.50
}


Entry 10:
{
  "formula": "La7Dy6Er16",
  "functional": "PBE",
  "state": "relaxed",
  "lattice": [[0.000, 7.968, 7.968], [7.968, 0.000, 7.968], [7.968, 7.968, 0.000]],
  "species": ["La", "La", "La", "La", "La", "La", "La", "Dy", "Dy", "Dy", "Dy", "Dy", "Dy", "Er", "Er", "Er", "Er", "Er", "Er", "Er", "Er", "Er", "Er", "Er", "Er", "Er", "Er", "Er", "Er"],
  "fractional_positions": [[0.000, 0.000, 0.000], [0.000, 0.000, 0.500], [0.000, 0.500, 0.000], [0.000, 0.500, 0.500], [0.500, 0.000, 0.000], [0.500, 0.000, 0.500], [0.500, 0.500, 0.000], [0.252, 0.252, 0.748], [0.252, 0.748, 0.252], [0.252, 0.748, 0.748], [0.748, 0.252, 0.252], [0.748, 0.252, 0.748], [0.748, 0.748, 0.252], [0.049, 0.650, 0.650], [0.130, 0.130, 0.130], [0.130, 0.130, 0.610], [0.130, 0.610, 0.130], [0.350, 0.350, 0.350], [0.350, 0.350, 0.951], [0.350, 0.951, 0.350], [0.390, 0.870, 0.870], [0.610, 0.130, 0.130], [0.650, 0.049, 0.650], [0.650, 0.650, 0.049], [0.650, 0.650, 0.650], [0.870, 0.390, 0.870], [0.870, 0.870, 0.390], [0.870, 0.870, 0.870], [0.951, 0.350, 0.350]],
  "formation_enthalpy_0k_kcal_per_mol_atoms": 6.30
}


Entry 11:
{
  "formula": "La12Dy6Er",
  "functional": "PBE",
  "state": "relaxed",
  "lattice": [[7.487, 4.323, 3.497], [-7.487, 4.323, 3.497], [0.000, -8.646, 3.497]],
  "species": ["La", "La", "La", "La", "La", "La", "La", "La", "La", "La", "La", "La", "Dy", "Dy", "Dy", "Dy", "Dy", "Dy", "Er"],
  "fractional_positions": [[0.116, 0.286, 0.816], [0.184, 0.884, 0.714], [0.193, 0.489, 0.586], [0.286, 0.816, 0.116], [0.414, 0.807, 0.511], [0.489, 0.586, 0.193], [0.511, 0.414, 0.807], [0.586, 0.193, 0.489], [0.714, 0.184, 0.884], [0.807, 0.511, 0.414], [0.816, 0.116, 0.286], [0.884, 0.714, 0.184], [0.090, 0.439, 0.193], [0.193, 0.090, 0.439], [0.439, 0.193, 0.090], [0.561, 0.807, 0.910], [0.807, 0.910, 0.561], [0.910, 0.561, 0.807], [0.000, 0.000, 0.000]],
  "formation_enthalpy_0k_kcal_per_mol_atoms": 5.14
}


Entry 12:
{
  "formula": "LaDy2Er2",
  "functional": "PBE",
  "state": "relaxed",
  "lattice": [[9.437, 0.000, 0.000], [0.000, 9.437, 0.000], [0.000, 0.000, 3.718]],
  "species": ["La", "La", "Dy", "Dy", "Dy", "Dy", "Er", "Er", "Er", "Er"],
  "fractional_positions": [[0.000, 0.000, 0.000], [0.500, 0.500, 0.000], [0.124, 0.376, 0.000], [0.376, 0.876, 0.000], [0.624, 0.124, 0.000], [0.876, 0.624, 0.000], [0.171, 0.671, 0.500], [0.329, 0.171, 0.500], [0.671, 0.829, 0.500], [0.829, 0.329, 0.500]],
  "formation_enthalpy_0k_kcal_per_mol_atoms": 1.77
}


no.,magnetic moment (μB/f.u.),energy (eV/atom)
1,0.73,-4.381
2,0.00,-4.591
3,0.00,-4.325
4,0.00,-4.610
5,0.00,-4.686
6,0.00,-4.595
7,0.00,-4.292
8,0.00,-4.554
9,0.00,-4.483
10,0.00,-4.386
11,0.00,-4.583
12,0.00,-4.575